Density functional theory data (PBE) for an optimized crystal structure of YHo3Tm2Sb6.

The energy comes out at -5.60 eV/atom. The calculation puts the uncorrected formation energy at -107 kJ/mol of atoms. The mass density is 7792 kg/m3. The value obtained for the magnetization is 0.0 μB/f.u. For the density of states at the Fermi level, the calculation gives 1.92 states/eV/f.u.

It has space group C2/m (No. 12), with a = 19.010 Å, b = 4.361 Å, c = 8.724 Å, α = 90.00°, β = 103.20° and γ = 90.00°. The asymmetric unit holds Y at (0.000, 0.000, 0.000), Ho at (0.000, 0.000, 0.500), Ho at (0.166, 0.500, 0.833), Tm at (0.167, 0.500, 0.333), Sb at (0.001, 0.500, 0.252), Sb at (0.167, 0.000, 0.085) and Sb at (0.167, 0.000, 0.582).

=====

Density functional theory data (PBE) for an optimized crystal structure of Ho2TeRh.

The energy comes out at -5.94 eV/atom. The calculation puts the uncorrected formation energy at -99 kJ/mol of atoms. The mass density is 8897 kg/m3. The value obtained for the magnetization is 0.0 μB/f.u. For the density of states at the Fermi level, the calculation gives 2.72 states/eV/f.u. The energy above the most stable polymorph in this dataset comes out at 0.00 eV/f.u.

It has space group R-3m (No. 166, hexagonal axes), with a = 4.0835 Å, b = 4.0835 Å, c = 21.7250 Å, α = 90.00°, β = 90.00° and γ = 120.00°. The asymmetric unit holds Ho at (0.0000, 0.0000, 0.2363), Te at (0.0000, 0.0000, 0.0000) and Rh at (0.0000, 0.0000, 0.5000).

=====

Density functional theory data (PBE) for an optimized crystal structure of Ba2HfRu.

The calculation puts the formation energy at 0.52 eV per atom. The energy comes out at -5.24 eV/atom. The mass density is 5172 kg/m3. The value obtained for the magnetization is 0.0 μB/f.u. For the density of states at the Fermi level, the calculation gives 7.04 states/eV/f.u. The energy above the most stable polymorph in this dataset comes out at 0.00 eV/f.u.

It has space group I-42d (No. 122), with a = 12.086 Å, b = 12.086 Å, c = 4.872 Å, α = 90.00°, β = 90.00° and γ = 90.00°. The asymmetric unit holds Ba at (0.081, 0.250, 0.125), Hf at (0.000, 0.000, 0.500) and Ru at (0.000, 0.000, 0.000).

=====

Density functional theory data (PBE) for an optimized crystal structure of Rb2NbSeCl6.

The energy comes out at -3.78 eV/atom. The calculation puts the uncorrected formation energy at -108 kJ/mol of atoms. The mass density is 2843 kg/m3. The value obtained for the magnetization is 1.0 μB/f.u. For the density of states at the Fermi level, the calculation gives 2.89 states/eV/f.u.

It has space group I4/mmm (No. 139), with a = 8.447 Å, b = 8.447 Å, c = 9.094 Å, α = 90.00°, β = 90.00° and γ = 90.00°. The asymmetric unit holds Rb at (0.000, 0.500, 0.250), Nb at (0.000, 0.000, 0.000), Se at (0.000, 0.000, 0.500), Cl at (0.000, 0.000, 0.252) and Cl at (0.208, 0.208, 0.000).

=====

Density functional theory data (PBE) for an optimized crystal structure of CsErGaS4.

The energy comes out at -4.79 eV/atom. The calculation puts the uncorrected formation energy at -118 kJ/mol of atoms. The mass density is 4421 kg/m3. The value obtained for the magnetization is 0.1 μB/f.u. For the density of states at the Fermi level, the calculation gives 1.70 states/eV/f.u.

It has space group P2_1/m (No. 11), with a = 6.867 Å, b = 5.711 Å, c = 9.868 Å, α = 90.00°, β = 104.76° and γ = 90.00°. The asymmetric unit holds Cs at (0.243, 0.250, 0.040), Er at (0.254, 0.250, 0.555), Ga at (0.259, 0.750, 0.339), S at (0.004, 0.517, 0.688), S at (0.421, 0.750, 0.569) and S at (0.461, 0.750, 0.196).

=====

Density functional theory data (PBE) for an optimized crystal structure of Dy5Y2Ho6.

The calculation puts the formation energy at 0.10 eV per atom. The energy comes out at -4.78 eV/atom. The mass density is 7913 kg/m3. The value obtained for the magnetization is 0.0 μB/f.u. For the density of states at the Fermi level, the calculation gives 16.27 states/eV/f.u.

It has space group Pbam (No. 55), with a = 11.608 Å, b = 20.120 Å, c = 3.558 Å, α = 90.00°, β = 90.00° and γ = 90.00°. The asymmetric unit holds Dy at (0.000, 0.000, 0.000), Dy at (0.093, 0.275, 0.000), Dy at (0.199, 0.550, 0.000), Y at (0.166, 0.711, 0.500), Ho at (0.059, 0.420, 0.500), Ho at (0.082, 0.132, 0.500) and Ho at (0.174, 0.867, 0.000).

=====

Density functional theory data (PBE) for an optimized crystal structure of AlSbP2S.

The energy comes out at -4.17 eV/atom. The calculation puts the uncorrected formation energy at 38 kJ/mol of atoms. The mass density is 3977 kg/m3. The value obtained for the magnetization is 0.0 μB/f.u. For the density of states at the Fermi level, the calculation gives 4.40 states/eV/f.u. The energy above the most stable polymorph in this dataset comes out at 0.00 eV/f.u.

It has space group P4/mmm (No. 123), with a = 4.717 Å, b = 4.717 Å, c = 4.556 Å, α = 90.00°, β = 90.00° and γ = 90.00°. The asymmetric unit holds Al at (0.000, 0.000, 0.000), Sb at (0.500, 0.500, 0.500), P at (0.000, 0.500, 0.000) and S at (0.000, 0.000, 0.500).

=====

Density functional theory data (PBE) for an optimized crystal structure of K3Na5Cl12.

The energy comes out at -2.87 eV/atom. The calculation puts the uncorrected formation energy at -122 kJ/mol of atoms. The mass density is 1729 kg/m3. The value obtained for the magnetization is 4.0 μB/f.u. For the density of states at the Fermi level, the calculation gives 15.56 states/eV/f.u.

It has space group Ia-3d (No. 230), with a = 17.159 Å, b = 17.159 Å, c = 17.159 Å, α = 90.00°, β = 90.00° and γ = 90.00°. The asymmetric unit holds K at (0.000, 0.250, 0.125), Na at (0.000, 0.000, 0.000), Na at (0.000, 0.250, 0.375) and Cl at (0.045, 0.077, 0.639).

=====

> Which value of magnetization does entry 7 give?

0.0 μB/f.u.